A geometry-optimized CdFeNO2 structure, computed with PBE with a Hubbard U.

Lattice parameters (Å, degrees): 3.870 3.870 3.862 90.00 90.00 90.00
Space group P4/mmm (No. 123)
Symmetry-distinct sites (fractional):
Cd 0.000 0.000 0.000 x1
Fe 0.500 0.500 0.500 x1
N 0.500 0.500 0.000 x1
O 0.000 0.500 0.500 x2

Values from the calculation:
The density is 6152 kg/m³. For the calculated volume, the calculation gives 57.8 Å³/cell. For the calculated total energy, the calculation gives -25.010 eV for the cell shown.